Below is a relaxed Rb2LiHBr6 crystal, with properties calculated at the PBE-GGA level.

Geometry as CIF:
```
data_Rb2LiHBr6
_cell_length_a 7.017
_cell_length_b 7.017
_cell_length_c 12.518
_cell_angle_alpha 90.00
_cell_angle_beta 90.00
_cell_angle_gamma 90.00
_space_group_name_H-M_alt 'I 4/m m m'
_space_group_IT_number 139
_space_group_name_Hall '-I 4 2'
loop_
_atom_site_label
_atom_site_type_symbol
_atom_site_fract_x
_atom_site_fract_y
_atom_site_fract_z
_atom_site_occupancy
Rb1 Rb 0.000 0.500 0.250 1
Li1 Li 0.000 0.000 0.000 1
H1 H 0.000 0.000 0.500 1
Br1 Br 0.000 0.000 0.205 1
Br2 Br 0.217 0.217 0.500 1
```

Values from the calculation:
* E_tot: -2.456 eV/atom
* N(E_F): 9.047 states/eV/f.u.

***

Below is a relaxed LiH2RuBr crystal, with properties calculated at the PBE-GGA level.

Geometry as CIF:
```
data_LiH2RuBr
_cell_length_a 3.621
_cell_length_b 3.621
_cell_length_c 5.540
_cell_angle_alpha 90.00
_cell_angle_beta 90.00
_cell_angle_gamma 90.00
_space_group_name_H-M_alt 'P 4/m m m'
_space_group_IT_number 123
_space_group_name_Hall '-P 4 2'
loop_
_atom_site_label
_atom_site_type_symbol
_atom_site_fract_x
_atom_site_fract_y
_atom_site_fract_z
_atom_site_occupancy
Li1 Li 0.000 0.000 0.000 1
H1 H 0.000 0.500 0.000 1
Ru1 Ru 0.000 0.000 0.500 1
Br1 Br 0.500 0.500 0.500 1
```

Values from the calculation:
* E_tot: -3.039 eV/atom
* N(E_F): 4.550 states/eV/f.u.

***

Below is a relaxed Li2H2SBr2 crystal, with properties calculated at the PBE-GGA level.

Geometry as CIF:
```
data_Li2H2SBr2
_cell_length_a 10.508
_cell_length_b 7.034
_cell_length_c 3.910
_cell_angle_alpha 90.00
_cell_angle_beta 111.19
_cell_angle_gamma 90.00
_space_group_name_H-M_alt 'C 1 2/m 1'
_space_group_IT_number 12
loop_
_space_group_symop_operation_xyz
'x,y,z'
'-x,-y,-z'
'-x,y,-z'
'x,-y,z'
'x+1/2,y+1/2,z'
'-x+1/2,-y+1/2,-z'
'-x+1/2,y+1/2,-z'
'x+1/2,-y+1/2,z'
loop_
_atom_site_label
_atom_site_type_symbol
_atom_site_fract_x
_atom_site_fract_y
_atom_site_fract_z
_atom_site_occupancy
Li1 Li 0.000 0.228 0.000 1
H1 H 0.163 0.000 0.600 1
S1 S 0.000 0.000 0.500 1
Br1 Br 0.167 0.500 0.354 1
```

Values from the calculation:
* E_tot: -3.288 eV/atom
* N(E_F): 0.000 states/eV/f.u.

***

Below is a relaxed LiSbTeHBr crystal, with properties calculated at the PBE-GGA level.

Geometry as CIF:
```
data_LiSbTeHBr
_cell_length_a 7.577
_cell_length_b 4.190
_cell_length_c 8.984
_cell_angle_alpha 90.00
_cell_angle_beta 110.23
_cell_angle_gamma 90.00
_space_group_name_H-M_alt 'C 1 m 1'
_space_group_IT_number 8
loop_
_space_group_symop_operation_xyz
'x,y,z'
'x,-y,z'
'x+1/2,y+1/2,z'
'x+1/2,-y+1/2,z'
loop_
_atom_site_label
_atom_site_type_symbol
_atom_site_fract_x
_atom_site_fract_y
_atom_site_fract_z
_atom_site_occupancy
Li1 Li 0.000 0.000 0.000 1
Sb1 Sb 0.443 0.500 0.309 1
Te1 Te 0.139 0.500 0.520 1
H1 H 0.473 0.000 0.614 1
Br1 Br 0.295 0.000 0.931 1
```

Values from the calculation:
* E above lowest polymorph: 0.142 eV/atom
* N(E_F): 0.448 states/eV/f.u.

***

no.,total moment (μB per formula unit)
1,0.0
2,2.2
3,0.0
4,0.0